## PaAlGa (PBE)

Data for a relaxed structure of PaAlGa.

```
PaAlGa
1.0
0.0000 3.2392 3.2392
3.2392 0.0000 3.2392
3.2392 3.2392 0.0000
Pa Al Ga
1 1 1
Direct
0.0000 0.0000 0.0000
0.5000 0.5000 0.5000
0.7500 0.7500 0.7500
```

Values from the calculation:
- uncorrected energy (eV/cell) = -16.0